The following is a DFT calculation (PBE) of a geometry-optimized TbGaHg2 structure.

abc: 4.870 11.294 6.623
angles: 90.00 90.00 90.00
Space group Ama2 (No. 40)
Asymmetric unit:
Tb 0.250 0.165 0.000
Ga 0.250 0.424 0.754
Hg 0.250 0.162 0.484
Hg 0.250 0.416 0.240

* V: 91.07 Å³/f.u.
* total magnetic moment: 0.00 μB/cell
* total DFT energy (no corrections): -2.4340 eV per atom